{
  "formula": "Rb2CaI4",
  "functional": "PBE",
  "state": "optimized geometry",
  "de_polymorph_mev_per_atom": 0.0,
  "e_tot_ev_per_fu": -20.99,
  "raw_formation_energy_ev_per_atom": -1.551,
  "space_group": "Pbam, No. 55",
  "mass_density_g_cm3": 3.5,
  "lattice_angstrom": [[-1.7652, -4.5825, -0.0472], [4.4926, -1.6501, -7.8129], [11.8944, -4.6622, 7.8242]],
  "species": ["I", "I", "Ca", "Rb", "I", "I", "I", "Rb", "Ca", "I", "Rb", "I", "Rb", "I"],
  "frac_coords": [[0.0000, 0.8750, 0.3067], [0.5000, 0.2815, 0.9511], [0.0000, 0.0000, 0.5000], [0.5000, 0.0822, 0.1781], [0.0000, 0.6250, 0.8067], [0.0000, 0.3750, 0.1933], [0.5000, 0.7185, 0.0489], [0.5000, 0.4178, 0.6781], [0.0000, 0.5000, 0.0000], [0.0000, 0.1250, 0.6933], [0.5000, 0.9178, 0.8219], [0.5000, 0.7815, 0.5489], [0.5000, 0.5822, 0.3219], [0.5000, 0.2185, 0.4511]]
}